--- P ---
## AcPmZnIn (PBE)

Data for a relaxed structure of AcPmZnIn.

Cell and atoms, written as POSCAR:
```
AcPmZnIn
1.0
5.529 0.000 0.000
2.764 4.788 0.000
2.764 1.596 4.514
Ac In Zn Pm
1 1 1 1
Cartesian
2.764 1.596 1.129 Ac
5.529 3.192 2.257 In
0.000 0.000 0.000 Zn
8.293 4.788 3.386 Pm
```

The calculation puts the total magnetization at 0.0 μB per cell. Its crystal system is cubic. The calculation puts the density of states at the Fermi level at 5.015 states/eV per cell.

=====

--- Q ---
## AcPmZnIn (PBE)

Data for a relaxed structure of AcPmZnIn.

Cell and atoms, written as POSCAR:
```
AcPmZnIn
1.0
3.854 0.000 0.000
0.000 3.854 0.000
0.000 0.000 7.888
Ac Pm Zn In
1 1 1 1
Cartesian
0.000 0.000 6.630 Ac
0.000 0.000 2.972 Pm
1.927 1.927 4.558 Zn
1.927 1.927 1.048 In
```

The calculation puts the total magnetization at 0.0 μB per cell. Its crystal system is tetragonal. The calculation puts the density of states at the Fermi level at 3.820 states/eV per cell.

=====

Most stable pick: Q. Distance to second place: 32 meV/atom.

=====

--- P ---
## AcPrIn (PBE)

Data for a relaxed structure of AcPrIn.

Cell and atoms, written as POSCAR:
```
AcPrIn
1.0
-3.274 3.798 0.029
-3.545 -3.069 1.776
2.360 1.973 8.120
Ac Pr In
2 2 2
Cartesian
0.242 0.150 7.819 Ac
-1.291 2.188 1.204 Ac
-2.229 1.351 4.962 Pr
1.180 0.987 4.060 Pr
-1.199 -1.055 2.862 In
0.150 3.392 6.161 In
```

The calculation puts the total magnetization at 0.7 μB per cell. Its crystal system is tetragonal. The calculation puts the density of states at the Fermi level at 8.405 states/eV per cell.

=====

--- Q ---
## AcPrIn (PBE)

Data for a relaxed structure of AcPrIn.

Cell and atoms, written as POSCAR:
```
AcPrIn
1.0
3.866 0.000 0.000
0.000 3.866 0.000
-1.933 -1.933 7.120
Pr Ac In
1 1 1
Cartesian
1.933 1.933 6.693 Pr
0.000 0.000 3.872 Ac
1.933 1.933 1.540 In
```

The calculation puts the total magnetization at 0.0 μB per cell. Its crystal system is tetragonal. The calculation puts the density of states at the Fermi level at 2.846 states/eV per cell.

=====

Most stable pick: P. Distance to second place: 42 meV/atom.

=====

--- P ---
## Ac2PrIn (PBE)

Data for a relaxed structure of Ac2PrIn.

Cell and atoms, written as POSCAR:
```
Ac2PrIn
1.0
-1.776 0.145 3.341
-1.431 -3.158 1.522
9.964 -3.131 7.579
Pr Ac In
1 2 1
Cartesian
0.000 0.000 0.000 Pr
6.792 -2.520 5.866 Ac
-0.035 -3.625 6.576 Ac
3.379 -3.072 6.221 In
```

The calculation puts the total magnetization at 0.5 μB per cell. Its crystal system is trigonal. The calculation puts the density of states at the Fermi level at 6.678 states/eV per cell.

=====

--- Q ---
## Ac2PrIn (PBE)

Data for a relaxed structure of Ac2PrIn.

Cell and atoms, written as POSCAR:
```
Ac2PrIn
1.0
5.979 0.000 0.000
0.000 6.482 -1.155
0.000 1.294 7.241
Ac Pr In
4 2 2
Cartesian
1.495 6.056 2.677 Ac
4.484 1.720 3.409 Ac
1.495 6.706 6.243 Ac
4.484 1.070 -0.157 Ac
1.495 3.389 5.011 Pr
4.484 4.387 1.075 Pr
1.495 2.539 1.415 In
4.484 5.237 4.671 In
```

The calculation puts the total magnetization at 0.0 μB per cell. Its crystal system is monoclinic. The calculation puts the density of states at the Fermi level at 11.239 states/eV per cell.

=====

--- R ---
## Ac2PrIn (PBE)

Data for a relaxed structure of Ac2PrIn.

Cell and atoms, written as POSCAR:
```
Ac2PrIn
1.0
-5.458 1.886 1.321
-4.404 -0.709 -3.899
-4.309 -3.920 1.079
Pr Ac In
1 2 1
Cartesian
0.000 0.000 0.000 Pr
-3.543 -0.686 -0.375 Ac
-10.628 -2.057 -1.124 Ac
-7.085 -1.371 -0.749 In
```

The calculation puts the total magnetization at 0.0 μB per cell. Its crystal system is cubic. The calculation puts the density of states at the Fermi level at 7.742 states/eV per cell.

=====

--- S ---
## Ac2PrIn (PBE)

Data for a relaxed structure of Ac2PrIn.

Cell and atoms, written as POSCAR:
```
Ac2PrIn
1.0
-3.878 0.658 0.412
-1.785 -0.787 3.440
0.321 10.715 4.892
Ac Pr In
2 1 1
Cartesian
-0.186 8.243 4.063 Ac
-1.381 2.426 2.112 Ac
-2.670 5.296 4.374 Pr
-3.454 10.627 7.460 In
```

The calculation puts the total magnetization at 0.0 μB per cell. Its crystal system is trigonal. The calculation puts the density of states at the Fermi level at 5.938 states/eV per cell.

=====

Most stable pick: Q. Distance to second place: 94 meV/atom.

=====

--- P ---
## Ac2PrIn (PBE)

Data for a relaxed structure of Ac2PrIn.

Cell and atoms, written as POSCAR:
```
Ac2PrIn
1.0
6.806 0.000 0.000
0.000 7.369 0.113
-3.403 -1.784 5.970
Ac Pr In
4 2 2
Cartesian
0.043 3.672 2.698 Ac
3.360 1.913 3.384 Ac
-0.043 -0.013 2.642 Ac
3.446 5.598 3.440 Ac
2.052 5.527 0.084 Pr
4.754 1.842 0.028 Pr
1.448 1.842 0.028 In
5.358 5.527 0.084 In
```

The calculation puts the total magnetization at 0.0 μB per cell. Its crystal system is monoclinic. The calculation puts the density of states at the Fermi level at 9.418 states/eV per cell.

=====

--- Q ---
## Ac2PrIn (PBE)

Data for a relaxed structure of Ac2PrIn.

Cell and atoms, written as POSCAR:
```
Ac2PrIn
1.0
3.941 0.000 0.000
0.000 3.941 0.000
0.000 0.000 9.784
Pr Ac In
1 2 1
Cartesian
1.970 1.970 4.892 Pr
0.000 0.000 7.589 Ac
0.000 0.000 2.194 Ac
1.970 1.970 0.000 In
```

The calculation puts the total magnetization at 0.0 μB per cell. Its crystal system is tetragonal. The calculation puts the density of states at the Fermi level at 4.690 states/eV per cell.

=====

--- R ---
## Ac2PrIn (PBE)

Data for a relaxed structure of Ac2PrIn.

Cell and atoms, written as POSCAR:
```
Ac2PrIn
1.0
5.165 0.000 0.000
0.000 5.280 0.000
0.000 0.000 5.280
Pr Ac In
1 2 1
Cartesian
2.583 2.640 2.640 Pr
0.000 0.000 2.640 Ac
0.000 2.640 0.000 Ac
2.583 0.000 0.000 In
```

The calculation puts the total magnetization at 0.0 μB per cell. Its crystal system is tetragonal. The calculation puts the density of states at the Fermi level at 7.149 states/eV per cell.

=====

Most stable pick: R. Distance to second place: 24 meV/atom.